# 1
Computed, not measured: a crystal of Mn2ReSi relaxed with PBEsol at the meta-GGA SCAN level of DFT.

total energy: -119.07 eV for the cell shown
SG: F-43m
total magnetic moment: 1.00 Bohr magnetons per cell

Geometry as POSCAR:
```
Mn2ReSi
1.0
4.078 0.000 0.000
2.039 3.531 0.000
2.039 1.177 3.329
Re Si Mn
1 1 2
Direct
0.500 0.500 0.500
0.250 0.250 0.250
0.000 0.000 0.000
0.750 0.750 0.750
```

# 2
Computed, not measured: a crystal of ZrScTc4 relaxed with PBEsol at the meta-GGA SCAN level of DFT.

SG: F-43m
ΔH_f (0 K): -0.379 eV per atom
total magnetic moment: 0.00 Bohr magnetons per cell

Geometry as POSCAR:
```
ZrScTc4
1.0
5.190 0.000 0.000
2.595 4.494 0.000
2.595 1.498 4.237
Sc Tc Zr
1 4 1
Direct
0.000 0.000 0.000
0.375 0.375 0.375
0.375 0.375 0.875
0.875 0.375 0.375
0.375 0.875 0.375
0.750 0.750 0.750
```

# 3
Computed, not measured: a crystal of SrNiTe2 relaxed with PBEsol at the meta-GGA SCAN level of DFT.

total energy: -114.79 eV for the cell shown
SG: Cmmm
total magnetic moment: 0.00 Bohr magnetons per cell

Geometry as POSCAR:
```
SrNiTe2
1.0
-1.059 1.748 3.501
1.097 -3.962 -0.036
7.353 2.025 1.214
Ni Sr Te
1 1 2
Direct
0.500 0.000 0.500
0.500 0.000 0.000
0.000 0.000 0.697
0.000 0.000 0.303
```

# 4
Computed, not measured: a crystal of LaY2FeIr relaxed with PBEsol at the meta-GGA SCAN level of DFT.

SG: P4/mmm
ΔH_f (0 K): 1.235 eV per atom
total magnetic moment: 3.12 Bohr magnetons per cell

Geometry as POSCAR:
```
LaY2FeIr
1.0
4.791 0.000 0.000
0.000 5.370 0.000
0.000 0.000 5.370
Y Ir Fe La
2 1 1 1
Direct
0.000 0.000 0.500
0.000 0.500 0.000
0.500 0.000 0.000
0.500 0.500 0.500
0.000 0.000 0.000
```

# 5
Computed, not measured: a crystal of Zr2InPt relaxed with PBEsol at the meta-GGA SCAN level of DFT.

SG: P4/mmm
ΔH_f (0 K): -0.803 eV per atom
total magnetic moment: 0.00 Bohr magnetons per cell

Geometry as POSCAR:
```
Zr2InPt
1.0
3.078 0.000 0.000
0.000 3.078 0.000
0.000 0.000 8.209
Zr Pt In
2 1 1
Direct
0.000 0.000 0.727
0.000 0.000 0.273
0.500 0.500 0.500
0.500 0.500 0.000
```

# 6
Computed, not measured: a crystal of Sr2RePb relaxed with PBEsol at the meta-GGA SCAN level of DFT.

SG: Cmmm
ΔH_f (0 K): 0.650 eV per atom
total magnetic moment: 0.00 Bohr magnetons per cell

Geometry as POSCAR:
```
Sr2RePb
1.0
3.072 0.000 0.000
0.000 5.933 -0.042
0.000 -1.878 5.629
Pb Re Sr
1 1 2
Direct
0.500 0.000 0.000
0.500 0.500 0.500
0.000 0.500 0.000
0.000 0.000 0.500
```

# 7
Computed, not measured: a crystal of ZnBIO2 relaxed with PBEsol at the meta-GGA SCAN level of DFT.

energy above the most stable polymorph in this dataset: 0 kJ/mol of formula units
SG: P4/mmm
total magnetic moment: 0.00 Bohr magnetons per cell

Geometry as POSCAR:
```
ZnBIO2
1.0
-1.987 -2.023 1.988
2.594 -2.278 0.274
1.876 2.691 4.613
I Zn B O
1 1 1 2
Direct
0.000 0.000 0.500
0.500 0.500 0.500
0.000 0.000 0.000
0.000 0.500 0.000
0.500 0.000 0.000
```

# 8
Computed, not measured: a crystal of LaOF relaxed with PBEsol at the meta-GGA SCAN level of DFT.

total energy: -65.29 eV for the cell shown
SG: F-43m
total magnetic moment: 0.03 Bohr magnetons per cell

Geometry as POSCAR:
```
LaOF
1.0
4.022 0.000 0.000
2.011 3.483 0.000
2.011 1.161 3.284
La O F
1 1 1
Direct
0.000 0.000 0.000
0.750 0.750 0.750
0.250 0.250 0.250
```

# 9
Computed, not measured: a crystal of SrDy2O4 relaxed with PBEsol at the meta-GGA SCAN level of DFT.

total energy: -673.98 eV for the cell shown
SG: Pnma
total magnetic moment: 0.00 Bohr magnetons per cell

Geometry as POSCAR:
```
SrDy2O4
1.0
3.396 0.000 0.000
0.000 9.971 0.000
0.000 0.000 11.834
Sr Dy O
4 8 16
Direct
0.250 0.749 0.850
0.750 0.751 0.350
0.250 0.249 0.650
0.750 0.251 0.150
0.750 0.424 0.889
0.250 0.580 0.611
0.750 0.420 0.389
0.250 0.576 0.111
0.750 0.924 0.611
0.750 0.920 0.111
0.250 0.080 0.889
0.250 0.076 0.389
0.750 0.627 0.981
0.750 0.013 0.283
0.750 0.427 0.578
0.250 0.073 0.078
0.250 0.787 0.176
0.250 0.873 0.481
0.750 0.713 0.676
0.750 0.513 0.217
0.750 0.927 0.922
0.250 0.287 0.324
0.250 0.987 0.717
0.250 0.573 0.422
0.250 0.373 0.019
0.250 0.487 0.783
0.750 0.127 0.519
0.750 0.213 0.824
```

# 10
Computed, not measured: a crystal of BaNd2CuO5 relaxed with PBEsol at the meta-GGA SCAN level of DFT.

total energy: -398.45 eV for the cell shown
SG: P4/mbm
total magnetic moment: 2.00 Bohr magnetons per cell

Geometry as POSCAR:
```
BaNd2CuO5
1.0
-4.059 4.127 -0.153
-0.084 -0.330 -6.659
-4.755 -4.666 0.291
Ba Nd Cu O
2 4 2 10
Direct
0.000 0.500 0.500
0.000 0.000 0.000
0.500 0.328 0.828
0.500 0.828 0.672
0.500 0.172 0.328
0.500 0.672 0.172
0.000 0.000 0.500
0.000 0.500 0.000
0.243 0.139 0.639
0.243 0.861 0.361
0.243 0.361 0.139
0.243 0.639 0.861
0.757 0.139 0.639
0.757 0.639 0.861
0.757 0.361 0.139
0.757 0.861 0.361
0.500 0.000 0.000
0.500 0.500 0.500
```

# 11
Computed, not measured: a crystal of CaMo2Rh relaxed with PBEsol at the meta-GGA SCAN level of DFT.

energy above the most stable polymorph in this dataset: 0 kJ/mol of formula units
SG: P4mm
ΔH_f (0 K): 0.224 eV per atom
total magnetic moment: 0.00 Bohr magnetons per cell

Geometry as POSCAR:
```
CaMo2Rh
1.0
3.176 0.000 0.000
0.000 3.176 0.000
0.000 0.000 6.942
Ca Mo Rh
1 2 1
Direct
0.500 0.500 0.738
0.000 0.000 0.055
0.500 0.500 0.239
0.000 0.000 0.468
```

# 12
Computed, not measured: a crystal of BaCdCu2 relaxed with PBEsol at the meta-GGA SCAN level of DFT.

SG: Imm2
ΔH_f (0 K): 0.179 eV per atom
total magnetic moment: 0.00 Bohr magnetons per cell

Geometry as POSCAR:
```
BaCdCu2
1.0
4.309 0.000 0.000
2.154 4.850 0.037
2.154 1.317 4.668
Ba Cd Cu
1 1 2
Direct
0.487 0.513 0.513
0.313 0.187 0.187
0.033 0.967 0.967
0.667 0.833 0.833
```